1.
Below is crystalline CaMgSi2Pt5 at its relaxed geometry, with properties calculated at the PBE-GGA level.

The calculation puts the uncorrected formation energy at -756 meV per atom.

The space group is P4/mmm (No. 123) and the conventional cell measures 4.027, 4.027 and 10.881 Å, with angles of 90.00, 90.00 and 90.00 degrees. The asymmetric unit holds Ca at (0.000, 0.000, 0.000), Mg at (0.000, 0.000, 0.500), Si at (0.500, 0.500, 0.215), Pt at (0.000, 0.500, 0.330) and Pt at (0.500, 0.500, 0.000).

***

2.
Below is crystalline Y4Te3Rh at its relaxed geometry, with properties calculated at the PBE-GGA level.

The calculation puts the uncorrected formation energy at -1211 meV per atom.

The space group is P2/c (No. 13) and the conventional cell measures 7.681, 8.699 and 7.314 Å, with angles of 90.00, 109.05 and 90.00 degrees. The asymmetric unit holds Y at (0.215, 0.113, 0.007), Y at (0.226, 0.338, 0.471), Te at (0.000, 0.385, 0.750), Te at (0.500, 0.122, 0.750), Te at (0.500, 0.388, 0.250) and Rh at (0.000, 0.113, 0.250).

***

3.
Below is crystalline UGeIr2 at its relaxed geometry, with properties calculated at the PBE-GGA level.

The excess energy over the best structure of this formula in the dataset comes out at 0.000 eV/atom. The value obtained for the formation energy is -409 meV per atom.

The space group is R-3m (No. 166, hexagonal axes) and the conventional cell measures 4.1937, 4.1937 and 14.3111 Å, with angles of 90.00, 90.00 and 120.00 degrees. The asymmetric unit holds U at (0.0000, 0.0000, 0.0000), Ge at (0.0000, 0.0000, 0.5000) and Ir at (0.0000, 0.0000, 0.2233).

***

4.
Below is crystalline K8Rb3 at its relaxed geometry, with properties calculated at the PBE-GGA level.

The excess energy over the best structure of this formula in the dataset comes out at 0.000 eV/atom. The value obtained for the formation energy is 4 meV per atom.

The space group is C2/m (No. 12) and the conventional cell measures 15.188, 6.914 and 16.511 Å, with angles of 90.00, 102.87 and 90.00 degrees. The asymmetric unit holds K at (0.043, 0.000, 0.319), K at (0.138, 0.000, 0.953), K at (0.185, 0.500, 0.772), K at (0.227, 0.000, 0.589), Rb at (0.000, 0.500, 0.500) and Rb at (0.091, 0.500, 0.139).

***

Summary of spin magnetization in μB per atom
0.0000 0.0000 0.2847 0.0000
(order as listed above)